Entry 1:
# AcPmPrEr, optimized geometry, DFT PBE-GGA
data_AcPmPrEr
_chemical_formula_sum 'Ac1 Pm1 Pr1 Er1'
_space_group_name_H-M_alt 'P 3 m 1'
_space_group_IT_number 156
_space_group_name_Hall 'P 3 -2"'
_cell_length_a 3.7466
_cell_length_b 3.7466
_cell_length_c 11.9762
_cell_angle_alpha 90.00
_cell_angle_beta 90.00
_cell_angle_gamma 120.00
loop_
_atom_site_label
_atom_site_type_symbol
_atom_site_fract_x
_atom_site_fract_y
_atom_site_fract_z
Ac1 Ac 0.0000 0.0000 0.0000
Pm1 Pm 0.3333 0.6667 0.2603
Pr1 Pr 0.6667 0.3333 0.5080
Er1 Er 0.3333 0.6667 0.7470
# Offset from the most stable computed form in eV per atom: 0.000
# Formation energy from the elements in kJ/mol of formula units: 22

***

Entry 2:
# AcPmErPu, optimized geometry, DFT PBE-GGA
data_AcPmErPu
_chemical_formula_sum 'Ac4 Pm4 Er4 Pu4'
_space_group_name_H-M_alt 'F -4 3 m'
_space_group_IT_number 216
_space_group_name_Hall 'F -4 2 3'
_cell_length_a 8.2139
_cell_length_b 8.2139
_cell_length_c 8.2139
_cell_angle_alpha 90.00
_cell_angle_beta 90.00
_cell_angle_gamma 90.00
loop_
_atom_site_label
_atom_site_type_symbol
_atom_site_fract_x
_atom_site_fract_y
_atom_site_fract_z
Ac1 Ac 0.0000 0.0000 0.0000
Pm1 Pm 0.2500 0.2500 0.2500
Er1 Er 0.2500 0.2500 0.7500
Pu1 Pu 0.0000 0.0000 0.5000
# Formation energy from the elements in kJ/mol of formula units: 103

***

Entry 3:
# Ac3Pm3ErS8, optimized geometry, DFT PBE-GGA
data_Ac3Pm3ErS8
_chemical_formula_sum 'Ac9 Pm9 Er3 S24'
_space_group_name_H-M_alt 'R -3 m'
_space_group_IT_number 166
_space_group_name_Hall '-R 3 2"'
_cell_length_a 8.1922
_cell_length_b 8.1922
_cell_length_c 20.7500
_cell_angle_alpha 90.00
_cell_angle_beta 90.00
_cell_angle_gamma 120.00
loop_
_atom_site_label
_atom_site_type_symbol
_atom_site_fract_x
_atom_site_fract_y
_atom_site_fract_z
Ac1 Ac 0.0000 0.5000 0.0000
Pm1 Pm 0.0000 0.5000 0.5000
Er1 Er 0.0000 0.0000 0.5000
S1 S 0.0000 0.0000 0.2440
S2 S 0.0104 0.5052 0.2418
# Formation energy from raw total energies in eV/atom: -2.0455

***

Entry 4:
# AcPm2ErS6, optimized geometry, DFT PBE-GGA
data_AcPm2ErS6
_chemical_formula_sum 'Ac3 Pm6 Er3 S18'
_space_group_name_H-M_alt 'R 3'
_space_group_IT_number 146
_space_group_name_Hall 'R 3'
_cell_length_a 7.1767
_cell_length_b 7.1767
_cell_length_c 18.9077
_cell_angle_alpha 90.00
_cell_angle_beta 90.00
_cell_angle_gamma 120.00
loop_
_atom_site_label
_atom_site_type_symbol
_atom_site_fract_x
_atom_site_fract_y
_atom_site_fract_z
Ac1 Ac 0.0000 0.0000 0.0000
Pm1 Pm 0.0000 0.0000 0.2829
Pm2 Pm 0.0000 0.0000 0.7903
Er1 Er 0.0000 0.0000 0.4879
S1 S 0.0269 0.7300 0.3897
S2 S 0.0319 0.3538 0.5546
# Formation energy from raw total energies in eV/atom: -2.0505

***

Entry 5:
# Ac3Pm2ErS6, optimized geometry, DFT PBE-GGA
data_Ac3Pm2ErS6
_chemical_formula_sum 'Ac6 Pm4 Er2 S12'
_space_group_name_H-M_alt 'C 1 2/m 1'
_space_group_IT_number 12
_space_group_name_Hall '-C 2y'
_cell_length_a 7.0949
_cell_length_b 12.3167
_cell_length_c 7.2914
_cell_angle_alpha 90.00
_cell_angle_beta 109.05
_cell_angle_gamma 90.00
loop_
_atom_site_label
_atom_site_type_symbol
_atom_site_fract_x
_atom_site_fract_y
_atom_site_fract_z
Ac1 Ac 0.0000 0.0000 0.0000
Ac2 Ac 0.0000 0.3300 0.0000
Pm1 Pm 0.0000 0.1666 0.5000
Er1 Er 0.0000 0.5000 0.5000
S1 S 0.2362 0.3382 0.7240
S2 S 0.2476 0.5000 0.2722
# Formation energy from raw total energies in eV/atom: -1.9973

***

Entry 6:
# AcPm2ErSb4, optimized geometry, DFT PBE-GGA
data_AcPm2ErSb4
_chemical_formula_sum 'Ac1 Pm2 Er1 Sb4'
_space_group_name_H-M_alt 'P 1 2/m 1'
_space_group_IT_number 10
_space_group_name_Hall '-P 2y'
_cell_length_a 7.8586
_cell_length_b 4.5448
_cell_length_c 7.8703
_cell_angle_alpha 90.00
_cell_angle_beta 109.41
_cell_angle_gamma 90.00
loop_
_atom_site_label
_atom_site_type_symbol
_atom_site_fract_x
_atom_site_fract_y
_atom_site_fract_z
Ac1 Ac 0.0000 0.0000 0.0000
Pm1 Pm 0.0000 0.5000 0.5000
Pm2 Pm 0.5000 0.0000 0.5000
Er1 Er 0.5000 0.5000 0.0000
Sb1 Sb 0.2615 0.0000 0.7508
Sb2 Sb 0.2643 0.5000 0.2579
# Formation energy from raw total energies in eV/atom: -1.1351

***

Entry 7:
# Ac2PmErSb4, optimized geometry, DFT PBE-GGA
data_Ac2PmErSb4
_chemical_formula_sum 'Ac2 Pm1 Er1 Sb4'
_space_group_name_H-M_alt 'P 1 2/m 1'
_space_group_IT_number 10
_space_group_name_Hall '-P 2y'
_cell_length_a 7.9884
_cell_length_b 4.6158
_cell_length_c 7.9896
_cell_angle_alpha 90.00
_cell_angle_beta 109.48
_cell_angle_gamma 90.00
loop_
_atom_site_label
_atom_site_type_symbol
_atom_site_fract_x
_atom_site_fract_y
_atom_site_fract_z
Ac1 Ac 0.0000 0.0000 0.0000
Ac2 Ac 0.0000 0.5000 0.5000
Pm1 Pm 0.5000 0.0000 0.5000
Er1 Er 0.5000 0.5000 0.0000
Sb1 Sb 0.2696 0.5000 0.2524
Sb2 Sb 0.2725 0.0000 0.7615
# Formation energy from raw total energies in eV/atom: -1.1563

***

Entry 8:
# AcPmEr2Sb4, optimized geometry, DFT PBE-GGA
data_AcPmEr2Sb4
_chemical_formula_sum 'Ac1 Pm1 Er2 Sb4'
_space_group_name_H-M_alt 'P 1 2/m 1'
_space_group_IT_number 10
_space_group_name_Hall '-P 2y'
_cell_length_a 7.7878
_cell_length_b 4.5094
_cell_length_c 7.8095
_cell_angle_alpha 90.00
_cell_angle_beta 109.49
_cell_angle_gamma 90.00
loop_
_atom_site_label
_atom_site_type_symbol
_atom_site_fract_x
_atom_site_fract_y
_atom_site_fract_z
Ac1 Ac 0.0000 0.0000 0.0000
Pm1 Pm 0.0000 0.5000 0.5000
Er1 Er 0.5000 0.0000 0.5000
Er2 Er 0.5000 0.5000 0.0000
Sb1 Sb 0.2646 0.0000 0.7478
Sb2 Sb 0.2704 0.5000 0.2641
# Formation energy from raw total energies in eV/atom: -1.1219

***

Entry 9:
# AcPmErSc, optimized geometry, DFT PBE-GGA
data_AcPmErSc
_chemical_formula_sum 'Ac4 Pm4 Er4 Sc4'
_space_group_name_H-M_alt 'F -4 3 m'
_space_group_IT_number 216
_space_group_name_Hall 'F -4 2 3'
_cell_length_a 8.1066
_cell_length_b 8.1066
_cell_length_c 8.1066
_cell_angle_alpha 90.00
_cell_angle_beta 90.00
_cell_angle_gamma 90.00
loop_
_atom_site_label
_atom_site_type_symbol
_atom_site_fract_x
_atom_site_fract_y
_atom_site_fract_z
Ac1 Ac 0.0000 0.0000 0.0000
Pm1 Pm 0.0000 0.0000 0.5000
Er1 Er 0.2500 0.2500 0.7500
Sc1 Sc 0.2500 0.2500 0.2500
# Formation energy from the elements in kJ/mol of formula units: 42

***

Entry 10:
# Ac2PmErSe4, optimized geometry, DFT PBE-GGA
data_Ac2PmErSe4
_chemical_formula_sum 'Ac2 Pm1 Er1 Se4'
_space_group_name_H-M_alt 'P 1 2/m 1'
_space_group_IT_number 10
_space_group_name_Hall '-P 2y'
_cell_length_a 7.2912
_cell_length_b 4.1783
_cell_length_c 7.7203
_cell_angle_alpha 90.00
_cell_angle_beta 108.13
_cell_angle_gamma 90.00
loop_
_atom_site_label
_atom_site_type_symbol
_atom_site_fract_x
_atom_site_fract_y
_atom_site_fract_z
Ac1 Ac 0.0000 0.0000 0.0000
Ac2 Ac 0.5000 0.5000 0.0000
Pm1 Pm 0.0000 0.5000 0.5000
Er1 Er 0.5000 0.0000 0.5000
Se1 Se 0.2490 0.0000 0.7254
Se2 Se 0.2673 0.5000 0.2796
# Formation energy from raw total energies in eV/atom: -1.8055

***

no.,size of the total moment (μB per formula unit)
1,0.0
2,7.0
3,0.0
4,0.0
5,0.0
6,0.0
7,0.0
8,0.0
9,0.0
10,0.0